Compound: CsBaSr3
Source: the Alexandria database
Functional: PBE
Structure: relaxed

Output
Energy above the lowest structure with this stoichiometry   0.0 meV/atom
ΔE_f   509.0 meV/atom
Volume   375 Å³/cell

Lattice parameters (Å, degrees): 7.2087 7.2087 7.2087 90.00 90.00 90.00
With the nearest neighbours (Å) after each atom.
Space group Pm-3m (No. 221)
Symmetry-distinct sites (fractional):
Cs: 0.0000 0.0000 0.0000 [1 per cell]  12 Sr 5.10
Ba: 0.5000 0.5000 0.5000 [1 per cell]  6 Sr 3.60
Sr: 0.0000 0.5000 0.5000 [3 per cell]  2 Ba 3.60